1.
A relaxed structure of Sm2Ho6Tm, computed with PBE.

Geometry as POSCAR:
```
Sm2Ho6Tm
1.0
6.3227 -0.3576 1.6010
2.0443 9.3102 0.4053
-0.8369 -1.2951 9.4152
Ho Sm Tm
12 4 2
direct
0.9955 0.7237 0.3490
0.7283 0.0596 0.4610
0.8142 0.9580 0.7777
0.2717 0.9404 0.5390
0.4955 0.3490 0.7237
0.5045 0.6510 0.2763
0.7717 0.5390 0.9404
0.0045 0.2763 0.6510
0.6858 0.2223 0.0420
0.2283 0.4610 0.0596
0.3142 0.7777 0.9580
0.1858 0.0420 0.2223
0.6279 0.6677 0.6187
0.3721 0.3323 0.3813
0.1279 0.6187 0.6677
0.8721 0.3813 0.3323
0.2500 0.1177 0.8823
0.7500 0.8823 0.1177
```

Summary:
ΔH_f (0 K), eV/atom: 0.113
M_tot, μB/f.u.: 0.000

***

2.
A relaxed structure of PmDy2Rh3, computed with PBE.

Geometry as POSCAR:
```
PmDy2Rh3
1.0
3.4501 0.0000 0.0000
0.0000 3.4501 0.0000
0.0000 0.0000 10.4087
Rh Pm Dy
3 1 2
direct
0.0000 0.0000 0.3250
0.0000 0.0000 0.0000
0.0000 0.0000 0.6750
0.5000 0.5000 0.5000
0.5000 0.5000 0.8359
0.5000 0.5000 0.1641
```

Summary:
ΔH_f (0 K), eV/atom: -0.806
M_tot, μB/f.u.: 0.000

***

no.,E (Ry/atom)
1,-0.3296
2,-0.5003